No. 1
## AlCo2Au (PBE)

Data for an optimized crystal structure of AlCo2Au.

Cell: 8.4494 8.4494 8.4494 Å, 18.93 18.93 18.93°
With the nearest neighbours (Å) after each atom.
Atoms (fractional coordinates):
Co 0.9911 0.9911 0.9911  3 Co 2.43
Co 0.2513 0.2513 0.2513  3 Co 2.43, 3 Al 2.49
Au 0.7496 0.7496 0.7496  6 Au 2.78, 3 Al 2.79, 3 Co 2.79
Al 0.5079 0.5079 0.5079  3 Co 2.49, 6 Al 2.78, 3 Au 2.79

Values from the calculation:
ΔH_f (0 K) (kJ/mol of atoms): 6


No. 2
## Al2CoAu2 (PBE)

Data for an optimized crystal structure of Al2CoAu2.

Cell: 6.7211 6.7211 3.5078 Å, 90.00 90.00 90.00°
With the nearest neighbours (Å) after each atom.
Atoms (fractional coordinates):
Co 0.0000 0.0000 0.0000  4 Al 2.56
Co 0.5000 0.5000 0.0000  4 Al 2.56
Al 0.6496 0.1496 0.0000  6 Au 2.56-2.69, 2 Co 2.56, 1 Al 2.84
Al 0.3504 0.8504 0.0000  6 Au 2.56-2.69, 2 Co 2.56, 1 Al 2.84
Al 0.1496 0.3504 0.0000  6 Au 2.56-2.69, 2 Co 2.56, 1 Al 2.84
Al 0.8504 0.6496 0.0000  6 Au 2.56-2.69, 2 Co 2.56, 1 Al 2.84
Au 0.1545 0.6545 0.5000  6 Al 2.56-2.69
Au 0.8455 0.3455 0.5000  6 Al 2.56-2.69
Au 0.6545 0.8455 0.5000  6 Al 2.56-2.69
Au 0.3455 0.1545 0.5000  6 Al 2.56-2.69

Values from the calculation:
ΔH_f (0 K) (kJ/mol of atoms): -7
Relative energy among the computed polymorphs (kJ/mol of atoms): 0.0


No. 3
## Al2CoAu (PBE)

Data for an optimized crystal structure of Al2CoAu.

Cell: 4.2972 4.2972 4.2972 Å, 60.00 60.00 60.00°
With the nearest neighbours (Å) after each atom.
Atoms (fractional coordinates):
Al 0.7500 0.7500 0.7500  4 Co 2.63, 4 Au 2.63
Al 0.2500 0.2500 0.2500  4 Co 2.63, 4 Au 2.63
Co 0.0000 0.0000 0.0000  8 Al 2.63
Au 0.5000 0.5000 0.5000  8 Al 2.63

Values from the calculation:
ΔH_f (0 K) (kJ/mol of atoms): -31


No. 4
## AlCo2Au (PBE)

Data for an optimized crystal structure of AlCo2Au.

Cell: 4.5723 4.5723 4.5730 Å, 131.13 131.13 71.62°
With the nearest neighbours (Å) after each atom.
Atoms (fractional coordinates):
Co 0.5005 0.4996 0.0000  4 Al 2.65, 4 Au 2.65, 4 Co 2.67-2.68
Co 0.9995 0.0004 0.0000  4 Al 2.65, 4 Au 2.65, 4 Co 2.67-2.68
Au 0.7500 0.2500 0.5000  8 Co 2.65, 4 Al 2.67-2.68
Al 0.2500 0.7500 0.5000  8 Co 2.65, 4 Au 2.67-2.68

Values from the calculation:
ΔH_f (0 K) (kJ/mol of atoms): -8